! AgPI3 | Alexandria | PBE | relaxed; values from VASP
! ΔE to the lowest computed polymorph   429 meV per atom
! Theoretical density   5.1 Mg/m³
! Energy relative to the elements, uncorrected   328 meV/atom
! Total magnetic moment   0.0 μB per cell
&SYSTEM
  ibrav = 0, nat = 5, ntyp = 3
/
ATOMIC_SPECIES
I 126.90 I.upf
P 30.97 P.upf
Ag 107.87 Ag.upf
CELL_PARAMETERS angstrom
5.527 0.000 0.000
0.000 5.527 0.000
0.000 0.000 5.527
ATOMIC_POSITIONS crystal
I 0.000 0.500 0.000
I 0.000 0.000 0.500
I 0.500 0.000 0.000
P 0.000 0.000 0.000
Ag 0.500 0.500 0.500